{
  "formula": "RbSbMoI2",
  "functional": "GGA-PBE",
  "state": "optimized geometry",
  "cell": [[6.712, 0.000, 0.000], [0.000, 6.712, 0.000], [0.000, 0.000, 6.709]],
  "species": ["Rb", "Sb", "Mo", "I", "I"],
  "fractional_positions": [[0.000, 0.000, 0.000], [0.000, 0.000, 0.500], [0.500, 0.500, 0.500], [0.000, 0.500, 0.000], [0.500, 0.000, 0.000]],
  "formation_energy_uncorrected_ev_per_fu": 6.1,
  "e_above_lowest_polymorph_ev_per_fu": 6.63,
  "total_magnetization_mub_per_cell": 2.0
}



{
  "formula": "Fe2AuCl",
  "functional": "GGA-PBE",
  "state": "optimized geometry",
  "cell": [[-2.859, 2.859, 5.146], [2.859, -2.859, 5.146], [2.859, 2.859, -5.146]],
  "species": ["Fe", "Fe", "Fe", "Fe", "Au", "Au", "Cl", "Cl"],
  "fractional_positions": [[0.100, 0.625, 0.975], [0.375, 0.350, 0.475], [0.650, 0.125, 0.025], [0.875, 0.900, 0.525], [0.250, 0.750, 0.500], [0.500, 0.500, 0.000], [0.000, 0.000, 0.000], [0.750, 0.250, 0.500]],
  "formation_energy_uncorrected_ev_per_fu": 2.4,
  "e_above_lowest_polymorph_ev_per_fu": 2.01,
  "total_magnetization_mub_per_cell": 12.0
}



{
  "formula": "Mg2BeGa2Pd5",
  "functional": "GGA-PBE",
  "state": "optimized geometry",
  "cell": [[10.238, 0.000, 0.000], [0.000, 10.238, 0.000], [0.000, 0.000, 2.952]],
  "species": ["Mg", "Mg", "Mg", "Mg", "Be", "Be", "Ga", "Ga", "Ga", "Ga", "Pd", "Pd", "Pd", "Pd", "Pd", "Pd", "Pd", "Pd", "Pd", "Pd"],
  "fractional_positions": [[0.166, 0.334, 0.000], [0.334, 0.834, 0.000], [0.666, 0.166, 0.000], [0.834, 0.666, 0.000], [0.000, 0.000, 0.000], [0.500, 0.500, 0.000], [0.144, 0.644, 0.000], [0.356, 0.144, 0.000], [0.644, 0.856, 0.000], [0.856, 0.356, 0.000], [0.000, 0.500, 0.500], [0.025, 0.807, 0.500], [0.193, 0.025, 0.500], [0.307, 0.525, 0.500], [0.475, 0.307, 0.500], [0.500, 0.000, 0.500], [0.525, 0.693, 0.500], [0.693, 0.475, 0.500], [0.807, 0.975, 0.500], [0.975, 0.193, 0.500]],
  "e_form_ev_per_fu": -5.6,
  "total_magnetization_mub_per_cell": 0.0
}



{
  "formula": "K2SrLa",
  "functional": "GGA-PBE",
  "state": "optimized geometry",
  "cell": [[3.956, -7.142, 0.000], [3.956, 7.142, 0.000], [0.000, 0.000, 3.794]],
  "species": ["K", "K", "Sr", "La"],
  "fractional_positions": [[0.000, 0.500, 0.000], [0.500, 0.000, 0.000], [0.000, 0.000, 0.500], [0.500, 0.500, 0.500]],
  "e_above_lowest_polymorph_ev_per_fu": 0.66,
  "e_form_ev_per_fu": 1.4,
  "total_magnetization_mub_per_cell": 0.3
}